Compound: Tc2PAu
Source: Alexandria
Functional: GGA-PBE
Structure: optimized geometry

The electronic total energy is -7.1392 eV/atom. For the formation energy, the calculation gives 0.216 eV/atom. The calculated volume is 15.2 A^3/atom.

a = 2.840 Å, b = 2.840 Å, c = 8.360 Å
α = 90.00°, β = 90.00°, γ = 115.32°
Atoms (fractional coordinates):
P 0.500 0.500 0.000
Tc 0.000 0.000 0.792
Au 0.500 0.500 0.500
Tc 0.000 0.000 0.208